Entry 1:
Material: Be2TeIr
Method: DFT, PBE
State: relaxed

```
4
Lattice="3.760 0.000 0.000 0.000 4.369 0.000 0.000 0.000 3.459" Properties=species:S:1:pos:R:3 pbc="T T T"
Ir 1.880 0.000 1.730
Be 1.880 2.185 0.000
Te 0.000 2.185 1.730
Be 0.000 0.000 0.000
```

Calculated values
Raw formation energy (meV/atom): 348.0
Uncorrected energy (eV/atom): -4.516

Entry 2:
Material: NpZn4Si2
Method: DFT, PBE
State: relaxed

```
7
Lattice="-3.820 0.794 -0.624 -0.339 -3.311 -2.139 -1.604 -2.095 7.156" Properties=species:S:1:pos:R:3 pbc="T T T"
Zn -3.202 -3.633 2.472
Zn -0.833 -3.059 1.208
Si -2.359 -1.849 -0.422
Zn -2.561 -0.979 1.921
Si -3.404 -2.762 4.816
Np 0.000 0.000 0.000
Zn -1.110 -2.347 3.809
```

Calculated values
Raw formation energy (meV/atom): -83.5
Uncorrected energy (eV/atom): -4.210

Entry 3:
Material: CaI3N2
Method: DFT, PBE
State: relaxed

```
12
Lattice="6.883 -1.289 2.612 -2.716 15.366 0.781 2.520 0.492 4.311" Properties=species:S:1:pos:R:3 pbc="T T T"
I 6.482 -0.488 4.045
N 5.270 3.343 4.256
I 5.112 7.155 4.447
N 1.915 3.881 2.666
N 4.771 10.687 5.039
N 1.417 11.226 3.449
I 3.430 11.660 5.943
I 1.574 7.414 3.258
Ca 3.719 9.943 2.963
I 3.256 2.909 1.761
I 0.204 15.056 3.659
Ca 2.968 4.626 4.742
```

Calculated values
Raw formation energy (meV/atom): 327.4
Uncorrected energy (eV/atom): -3.556

Entry 4:
Material: BaMgSbI
Method: DFT, PBE
State: relaxed

```
8
Lattice="4.900 0.000 0.000 2.450 4.243 0.000 2.450 1.414 16.110" Properties=species:S:1:pos:R:3 pbc="T T T"
Mg 7.349 4.243 15.092
Ba 7.349 4.243 4.087
Mg 2.450 1.414 1.017
Ba 2.450 1.414 12.022
Sb 4.900 2.829 14.216
Sb 4.900 2.829 1.893
I 7.349 4.243 10.068
I 2.450 1.414 6.042
```

Calculated values
Raw formation energy (meV/atom): -1129.1
Uncorrected energy (eV/atom): -3.427

Entry 5:
Material: SrHgPt
Method: DFT, PBE
State: relaxed

```
18
Lattice="-0.080 4.315 -0.920 -1.083 -1.614 -7.472 -13.117 0.117 1.683" Properties=species:S:1:pos:R:3 pbc="T T T"
Pt -8.544 2.079 -5.380
Pt -1.452 2.858 -2.343
Hg -11.153 2.319 -4.034
Pt -5.735 0.739 -1.329
Hg -3.126 0.500 -2.676
Pt -4.082 -0.088 -5.347
Sr -10.369 -0.389 -6.215
Sr -3.910 3.207 -0.495
Sr -1.812 2.184 -5.474
Hg -6.911 -0.240 -5.818
Hg -7.368 3.059 -0.892
Pt -12.828 -0.040 -4.366
Sr -5.588 2.420 -4.041
Sr -12.467 0.635 -1.236
Pt -10.198 2.906 -1.362
Sr -8.692 0.399 -2.668
Hg -2.271 -0.515 -7.505
Hg -12.008 3.333 0.796
```

Calculated values
ΔE_f (eV per atom): -0.656
Uncorrected energy (eV/atom): -3.330

Entry 6:
Material: CsMg2Sn
Method: DFT, PBE
State: relaxed

```
8
Lattice="-1.989 3.510 3.051 -4.608 -1.937 -0.776 1.437 -7.037 9.033" Properties=species:S:1:pos:R:3 pbc="T T T"
Mg 0.718 -3.519 4.516
Sn -0.075 -2.749 7.306
Mg 0.308 -4.625 9.715
Cs -0.653 0.080 3.675
Mg -2.170 -1.625 0.455
Mg -2.580 -2.732 5.654
Cs -1.209 -6.330 6.495
Sn -1.786 -3.502 2.864
```

Calculated values
ΔE_f (eV per atom): 0.020
Uncorrected energy (eV/atom): -1.992

Entry 7:
Material: Mn2SbAu
Method: DFT, PBE
State: relaxed

```
4
Lattice="8.855 0.017 0.010 8.298 3.089 0.010 8.298 1.503 2.699" Properties=species:S:1:pos:R:3 pbc="T T T"
Sb 12.976 2.350 1.386
Mn 6.610 1.197 0.706
Mn 25.268 4.576 2.700
Au 18.775 3.400 2.006
```

Calculated values
Raw formation energy (meV/atom): 280.8
Uncorrected energy (eV/atom): -6.154

Entry 8:
Material: CuOs2Pd
Method: DFT, PBE
State: relaxed

```
4
Lattice="0.000 3.042 3.042 3.042 0.000 3.042 3.042 3.042 0.000" Properties=species:S:1:pos:R:3 pbc="T T T"
Os 1.521 1.521 1.521
Os 4.563 4.563 4.563
Pd 3.042 3.042 3.042
Cu 0.000 0.000 0.000
```

Calculated values
ΔE to the lowest computed polymorph (meV/atom): 0
ΔE_f (eV per atom): 0.669
Uncorrected energy (eV/atom): -7.268